Record 1
A relaxed GaMo2C crystal. Source: OQMD via LeMat-Bulk, functional PBE.

Computed properties:
Space group = R3m
Distance to the lowest polymorph of the same formula = 4 meV/atom
Crystal system = trigonal

a b c (Å): 6.898 6.898 6.898
angles (deg): 25.48 25.48 25.48
Positions (direct):
Ga  0.000  0.000  0.000
Mo  0.225  0.225  0.225
Mo  0.439  0.439  0.439
C  0.833  0.833  0.833

Record 2
A relaxed NbFe3 crystal. Source: OQMD via LeMat-Bulk, functional PBE.

Computed properties:
Space group = Pm-3m
Crystal system = cubic
Formation enthalpy at 0 K = 36 meV/atom

a b c (Å): 3.693 3.693 3.693
angles (deg): 90.00 90.00 90.00
Positions (direct):
Nb  0.000  0.000  0.000
Fe  0.000  0.500  0.500
Fe  0.500  0.000  0.500
Fe  0.500  0.500  0.000

Record 3
A relaxed NbCuAgGe crystal. Source: OQMD via LeMat-Bulk, functional PBE.

Computed properties:
Space group = F-43m
Distance to the lowest polymorph of the same formula = 0 meV/atom
Crystal system = cubic

a b c (Å): 4.503 4.503 4.503
angles (deg): 60.00 60.00 60.00
Positions (direct):
Nb  0.000  0.000  0.000
Cu  0.500  0.500  0.500
Ag  0.750  0.750  0.750
Ge  0.250  0.250  0.250

| no. | final energy (eV/cell) |
| --- | --- |
| 1 | -34.393 |
| 2 | -34.875 |
| 3 | -20.371 |